First-principles (PBE-GGA) data for a geometry-optimized Pm2Cd4Hg3 structure, as listed in Alexandria via LeMat-Bulk.

Properties
SG = Cmce
Fermi-level density of states = 0.88 states/eV/atom
volume = 25.196 Å³ per atom
formation enthalpy at 0 K = -0.22 eV/atom

Cell: 8.9773 8.9773 8.6168 Å, 90.00 90.00 139.23°
Sites, in units of the cell vectors:
Pm 0.1000 0.9000 0.8955
Pm 0.4000 0.6000 0.3955
Pm 0.6000 0.4000 0.6045
Pm 0.9000 0.1000 0.1045
Cd 0.1730 0.8270 0.5075
Cd 0.1810 0.3190 0.7500
Cd 0.3190 0.1810 0.2500
Cd 0.3270 0.6730 0.0075
Cd 0.6730 0.3270 0.9925
Cd 0.6810 0.8190 0.7500
Cd 0.8190 0.6810 0.2500
Cd 0.8270 0.1730 0.4925
Hg 0.0000 0.0000 0.5000
Hg 0.0043 0.4957 0.7500
Hg 0.4957 0.0043 0.2500
Hg 0.5000 0.5000 0.0000
Hg 0.5043 0.9957 0.7500
Hg 0.9957 0.5043 0.2500